Material: BiPb
Method: DFT, PBE
State: optimized geometry

Summary:
For the calculated formation energy, the calculation gives 10.4 kJ per mole of atoms.

Structure (POSCAR):
```
BiPb
1.0
4.610 0.000 0.000
2.305 3.992 0.000
2.305 1.331 3.764
Bi Pb
1 1
Direct
0.500 0.500 0.500
0.000 0.000 0.000
```

Material: BiPb2
Method: DFT, PBE
State: optimized geometry

Summary:
For the calculated formation energy, the calculation gives 4.5 kJ per mole of atoms. As for the energy above the most stable polymorph in this dataset: 0.022 eV per formula unit.

Structure (POSCAR):
```
BiPb2
1.0
-2.953 -2.478 0.616
2.452 -2.490 1.739
-0.890 5.217 4.344
Bi Pb
1 2
Direct
0.000 0.000 0.000
0.341 0.341 0.682
0.659 0.659 0.318
```

Material: BiPb5
Method: DFT, PBE
State: optimized geometry

Summary:
For the calculated formation energy, the calculation gives 1.1 kJ per mole of atoms. As for the energy above the most stable polymorph in this dataset: 0.000 eV per formula unit.

Structure (POSCAR):
```
BiPb5
1.0
-3.732 -3.204 1.390
3.394 -3.569 0.886
-1.080 4.120 6.598
Pb Bi
5 1
Direct
0.500 0.168 0.335
0.500 0.832 0.665
0.500 0.500 0.000
0.000 0.335 0.670
0.000 0.665 0.330
0.000 0.000 0.000
```

Material: BiPb7
Method: DFT, PBE
State: optimized geometry

Summary:
For the calculated formation energy, the calculation gives 0.8 kJ per mole of atoms.

Structure (POSCAR):
```
BiPb7
1.0
7.112 0.000 0.000
3.556 6.159 0.000
3.556 2.053 5.807
Bi Pb
1 7
Direct
0.000 0.000 0.000
0.500 0.000 0.500
0.000 0.000 0.500
0.500 0.500 0.000
0.000 0.500 0.000
0.500 0.500 0.500
0.000 0.500 0.500
0.500 0.000 0.000
```

Material: BiPb3
Method: DFT, PBE
State: optimized geometry

Summary:
For the calculated formation energy, the calculation gives 2.0 kJ per mole of atoms.

Structure (POSCAR):
```
BiPb3
1.0
4.542 0.000 0.000
0.000 5.335 0.000
0.000 0.000 5.282
Pb Bi
3 1
Direct
0.500 0.000 0.446
0.000 0.000 0.950
0.500 0.500 0.888
0.000 0.500 0.383
```

Material: BiPb2
Method: DFT, PBE
State: optimized geometry

Summary:
For the calculated formation energy, the calculation gives 3.8 kJ per mole of atoms. As for the energy above the most stable polymorph in this dataset: 0.000 eV per formula unit.

Structure (POSCAR):
```
BiPb2
1.0
4.279 0.000 0.000
0.000 7.094 -0.560
-2.140 -1.306 6.441
Bi Pb
2 4
Direct
0.164 0.082 0.329
0.836 0.918 0.671
0.494 0.754 0.989
0.173 0.598 0.346
0.506 0.246 0.011
0.827 0.402 0.654
```

Material: Bi3Pb
Method: DFT, PBE
State: optimized geometry

Summary:
For the calculated formation energy, the calculation gives 6.2 kJ per mole of atoms. As for the energy above the most stable polymorph in this dataset: 0.000 eV per formula unit.

Structure (POSCAR):
```
Bi3Pb
1.0
-3.815 -5.406 1.925
4.063 -4.798 2.177
-1.394 0.584 6.479
Bi Pb
6 2
Direct
0.258 0.576 0.167
0.253 0.063 0.063
0.742 0.833 0.424
0.747 0.937 0.937
0.742 0.424 0.833
0.258 0.167 0.576
0.278 0.663 0.663
0.722 0.337 0.337
```

Material: Bi3Pb
Method: DFT, PBE
State: optimized geometry

Summary:
For the calculated formation energy, the calculation gives 12.2 kJ per mole of atoms. As for the energy above the most stable polymorph in this dataset: 0.250 eV per formula unit.

Structure (POSCAR):
```
Bi3Pb
1.0
-5.198 0.993 2.017
-1.882 -2.863 4.510
-0.654 2.648 4.964
Bi Pb
3 1
Direct
0.750 0.750 0.750
0.250 0.250 0.250
0.500 0.500 0.500
0.000 0.000 0.000
```

Q: The lowest calculated formation energy belongs to which entry?
A: BiPb7

Q: Which of these has the lowest calculated formation energy?
A: BiPb7